PBE-GGA MgPb4W, optimized geometry; ΔH_f (0 K) = 101.0 kJ/mol of atoms; crystal system = cubic; total energy = -3.851 eV/atom; SG = F-43m, No. 216
1.0
0.000 4.462 4.462
4.462 0.000 4.462
4.462 4.462 0.000
Mg Pb W
1 4 1
Direct
0.000 0.000 0.000
0.872 0.376 0.376
0.376 0.376 0.872
0.376 0.872 0.376
0.376 0.376 0.376
0.750 0.750 0.750

***

PBE-GGA MgPbW2, optimized geometry; ΔH_f (0 K) = 68.2 kJ/mol of atoms; crystal system = orthorhombic; total energy = -7.095 eV/atom; ΔE to the lowest computed polymorph = 0.248 eV/atom; SG = Imm2, No. 44
1.0
5.437 -0.004 0.000
2.192 4.975 0.000
-3.348 -3.201 2.846
Mg Pb W
1 1 2
Direct
0.491 0.491 0.000
0.759 0.259 0.500
0.024 0.024 0.000
0.225 0.725 0.500

***

PBE-GGA MgPbW2, optimized geometry; ΔH_f (0 K) = 116.2 kJ/mol of atoms; crystal system = cubic; total energy = -6.598 eV/atom; ΔE to the lowest computed polymorph = 0.745 eV/atom; SG = Fm-3m, No. 225
1.0
0.000 3.324 3.324
3.324 0.000 3.324
3.324 3.324 0.000
Pb Mg W
1 1 2
Direct
0.500 0.500 0.500
0.000 0.000 0.000
0.250 0.250 0.250
0.750 0.750 0.750

***

PBE-GGA MgPbW2, optimized geometry; ΔH_f (0 K) = 49.0 kJ/mol of atoms; crystal system = orthorhombic; total energy = -7.294 eV/atom; ΔE to the lowest computed polymorph = 0.049 eV/atom; SG = Cmm2, No. 35
1.0
2.985 -0.004 0.000
-1.148 2.756 0.000
0.000 0.000 9.885
Mg Pb W
1 1 2
Direct
0.000 0.000 0.468
0.500 0.500 0.768
0.000 0.000 0.032
0.500 0.500 0.232

***

PBE-GGA MgPbW2, optimized geometry; ΔH_f (0 K) = 95.5 kJ/mol of atoms; crystal system = tetragonal; total energy = -6.812 eV/atom; ΔE to the lowest computed polymorph = 0.531 eV/atom; SG = P4/mmm, No. 123
1.0
3.575 0.000 0.000
0.000 3.575 0.000
0.000 0.000 5.918
Mg Pb W
1 1 2
Direct
0.500 0.500 0.250
0.500 0.500 0.750
0.000 0.000 0.039
0.000 0.000 0.461

***

PBE-GGA MgPbW2, optimized geometry; ΔH_f (0 K) = 44.3 kJ/mol of atoms; crystal system = tetragonal; total energy = -7.343 eV/atom; ΔE to the lowest computed polymorph = 0.000 eV/atom; SG = P4mm, No. 99
1.0
-1.724 2.459 -1.303
-2.282 -2.127 -0.994
-3.761 0.909 6.691
Mg Pb W
1 1 2
Direct
0.000 0.000 0.453
0.500 0.500 0.775
0.000 0.000 0.054
0.500 0.500 0.217

***

PBE-GGA MgPbW2, optimized geometry; ΔH_f (0 K) = 69.8 kJ/mol of atoms; crystal system = monoclinic; total energy = -7.078 eV/atom; ΔE to the lowest computed polymorph = 0.265 eV/atom; SG = C2/m, No. 12
1.0
5.230 -0.004 0.011
4.243 3.058 0.011
0.664 0.214 4.875
Mg Pb W
1 1 2
Direct
0.250 0.250 0.250
0.750 0.750 0.750
0.999 0.999 0.049
0.501 0.501 0.451

***

PBE-GGA MgPbW2, optimized geometry; ΔH_f (0 K) = 85.2 kJ/mol of atoms; crystal system = orthorhombic; total energy = -6.919 eV/atom; ΔE to the lowest computed polymorph = 0.424 eV/atom; SG = Pmmm, No. 47
1.0
-0.079 -2.871 0.049
3.866 -0.148 -2.440
3.197 -0.001 5.064
Mg Pb W
1 1 2
Direct
0.500 0.500 0.250
0.500 0.500 0.750
0.000 0.000 0.044
0.000 0.000 0.456

***

| no. | total magnetization (Bohr magnetons per cell) | N(E_F) (states/eV per cell) |
| --- | --- | --- |
| 1 | 3.08 | 4.456 |
| 2 | 0.00 | 2.665 |
| 3 | 0.00 | 5.859 |
| 4 | 0.00 | 1.745 |
| 5 | 0.00 | 2.165 |
| 6 | 0.00 | 3.002 |
| 7 | 0.00 | 3.023 |
| 8 | 0.00 | 3.623 |